Record 1
Computed, not measured: a relaxed structure of LiHoC at the PBE-GGA level of DFT.

POSCAR file:
```
LiHoC
1.0
3.997 0.000 0.000
1.998 3.461 0.000
1.998 1.154 3.264
Li C Ho
1 1 1
direct
0.500 0.500 0.500 Li
0.250 0.250 0.250 C
0.000 0.000 0.000 Ho
```

Computed properties:
**Raw total energy**: -16.2 eV per cell
**ΔE to the lowest computed polymorph**: 0.0000 eV per atom



Record 2
Computed, not measured: a relaxed structure of LiHo2C at the PBE-GGA level of DFT.

POSCAR file:
```
LiHo2C
1.0
-1.651 0.328 2.702
-0.521 -3.140 0.063
6.640 -1.018 4.179
Ho Li C
2 1 1
direct
0.000 0.000 0.577 Ho
0.000 0.000 0.923 Ho
0.500 0.500 0.250 Li
0.500 0.500 0.750 C
```

Computed properties:
**Raw total energy**: -19.3 eV per cell
**ΔE to the lowest computed polymorph**: 0.3678 eV per atom



Record 3
Computed, not measured: a relaxed structure of Li2Ho4C at the PBE-GGA level of DFT.

POSCAR file:
```
Li2Ho4C
1.0
-1.277 4.581 1.125
-4.148 -0.536 -2.528
-6.145 -0.446 5.455
Ho Li C
4 2 1
direct
0.162 0.162 0.675 Ho
0.500 0.000 0.000 Ho
0.838 0.838 0.325 Ho
0.000 0.500 0.000 Ho
0.637 0.637 0.725 Li
0.363 0.363 0.275 Li
0.000 0.000 0.000 C
```

Computed properties:
**Raw total energy**: -30.6 eV per cell